No. 1
Crystalline CdBi2Pd at its relaxed geometry. Source: the Alexandria database, functional GGA-PBEsol.

It has space group I-42d (No. 122), with a = 4.689 Å, b = 4.689 Å, c = 18.814 Å, α = 90.00°, β = 90.00° and γ = 90.00°. The inequivalent atoms are Cd at (0.000, 0.000, 0.000), Bi at (0.222, 0.250, 0.625) and Pd at (0.000, 0.000, 0.500).

The energy of formation is 83 meV/atom. As for the total energy: -3.848 eV per atom.



No. 2
Crystalline LiW3Br at its relaxed geometry. Source: the Alexandria database, functional GGA-PBEsol.

It has space group Pm-3m (No. 221), with a = 4.576 Å, b = 4.576 Å, c = 4.576 Å, α = 90.00°, β = 90.00° and γ = 90.00°. The inequivalent atoms are Li at (0.000, 0.000, 0.000), W at (0.000, 0.500, 0.500) and Br at (0.500, 0.500, 0.500).

The uncorrected formation energy is 2.145 eV/atom. As for the total energy: -6.907 eV per atom.



No. 3
Crystalline LiScBeAs2 at its relaxed geometry. Source: the Alexandria database, functional GGA-PBEsol.

It has space group P4/mmm (No. 123), with a = 4.358 Å, b = 4.358 Å, c = 4.562 Å, α = 90.00°, β = 90.00° and γ = 90.00°. The inequivalent atoms are Li at (0.000, 0.000, 0.000), Sc at (0.000, 0.000, 0.500), Be at (0.500, 0.500, 0.500) and As at (0.000, 0.500, 0.000).

The energy of formation is 455 meV/atom. As for the total energy: -4.102 eV per atom.



No. 4
Crystalline YMoP2 at its relaxed geometry. Source: the Alexandria database, functional GGA-PBEsol.

It has space group Immm (No. 71), with a = 4.302 Å, b = 4.687 Å, c = 6.402 Å, α = 90.00°, β = 90.00° and γ = 90.00°. The inequivalent atoms are Y at (0.000, 0.000, 0.000), Mo at (0.000, 0.000, 0.500) and P at (0.000, 0.500, 0.235).

The energy of formation is -629 meV/atom. As for the total energy: -8.173 eV per atom. The polymorph energy (0 for the lowest one) comes out at 9.6 kJ/mol of atoms.



No. 5
Crystalline TiNbS2 at its relaxed geometry. Source: the Alexandria database, functional GGA-PBEsol.

It has space group I-42d (No. 122), with a = 5.506 Å, b = 5.506 Å, c = 10.484 Å, α = 90.00°, β = 90.00° and γ = 90.00°. The inequivalent atoms are Ti at (0.000, 0.000, 0.000), Nb at (0.000, 0.000, 0.500) and S at (0.240, 0.250, 0.125).

The uncorrected formation energy is -0.640 eV/atom. As for the total energy: -7.618 eV per atom. The polymorph energy (0 for the lowest one) comes out at 10.9 kJ/mol of atoms.



No. 6
Crystalline NaLi2ScH at its relaxed geometry. Source: the Alexandria database, functional GGA-PBEsol.

It has space group P4/mmm (No. 123), with a = 4.914 Å, b = 4.914 Å, c = 3.919 Å, α = 90.00°, β = 90.00° and γ = 90.00°. The inequivalent atoms are Na at (0.000, 0.000, 0.000), Li at (0.000, 0.500, 0.500), Sc at (0.500, 0.500, 0.000) and H at (0.500, 0.500, 0.500).

As for the total energy: -2.968 eV per atom.



No. 7
Crystalline NaCu3O2 at its relaxed geometry. Source: the Alexandria database, functional GGA-PBEsol.

It has space group Ibam (No. 72), with a = 5.760 Å, b = 9.514 Å, c = 5.454 Å, α = 90.00°, β = 90.00° and γ = 90.00°. The inequivalent atoms are Na at (0.000, 0.000, 0.250), Cu at (0.000, 0.500, 0.000), Cu at (0.250, 0.250, 0.250) and O at (0.243, 0.120, 0.000).

The uncorrected formation energy is -0.642 eV/atom. As for the total energy: -4.792 eV per atom.



No. 8
Crystalline GeBCl2 at its relaxed geometry. Source: the Alexandria database, functional GGA-PBEsol.

It has space group R-3m (No. 166, hexagonal axes), with a = 3.0770 Å, b = 3.0770 Å, c = 28.8069 Å, α = 90.00°, β = 90.00° and γ = 120.00°. The inequivalent atoms are Ge at (0.0000, 0.0000, 0.0000), B at (0.0000, 0.0000, 0.5000) and Cl at (0.0000, 0.0000, 0.4421).

The uncorrected formation energy is 0.383 eV/atom. As for the total energy: -3.610 eV per atom.



No. 9
Crystalline SrP2AuO at its relaxed geometry. Source: the Alexandria database, functional GGA-PBEsol.

It has space group P4/mmm (No. 123), with a = 5.467 Å, b = 5.467 Å, c = 4.036 Å, α = 90.00°, β = 90.00° and γ = 90.00°. The inequivalent atoms are Sr at (0.000, 0.000, 0.000), P at (0.000, 0.500, 0.000), Au at (0.500, 0.500, 0.500) and O at (0.000, 0.000, 0.500).

The uncorrected formation energy is 1.075 eV/atom. As for the total energy: -3.444 eV per atom.



No. 10
Crystalline Ga2OsNF at its relaxed geometry. Source: the Alexandria database, functional GGA-PBEsol.

It has space group P4/mmm (No. 123), with a = 4.701 Å, b = 4.701 Å, c = 3.656 Å, α = 90.00°, β = 90.00° and γ = 90.00°. The inequivalent atoms are Ga at (0.000, 0.500, 0.000), Os at (0.000, 0.000, 0.500), N at (0.000, 0.000, 0.000) and F at (0.500, 0.500, 0.500).

The uncorrected formation energy is 0.266 eV/atom. As for the total energy: -5.604 eV per atom.



No. 11
Crystalline LiAl2Ag at its relaxed geometry. Source: the Alexandria database, functional GGA-PBEsol.

It has space group Pmm2 (No. 25), with a = 2.880 Å, b = 3.880 Å, c = 5.588 Å, α = 90.00°, β = 90.00° and γ = 90.00°. The inequivalent atoms are Li at (0.000, 0.000, 0.000), Al at (0.000, 0.000, 0.496), Al at (0.500, 0.500, 0.754) and Ag at (0.500, 0.500, 0.245).

The energy of formation is -143 meV/atom. As for the total energy: -3.508 eV per atom. The polymorph energy (0 for the lowest one) comes out at 0.2 kJ/mol of atoms.



No. 12
Crystalline Ca2MnAgF at its relaxed geometry. Source: the Alexandria database, functional GGA-PBEsol.

It has space group P4/mmm (No. 123), with a = 5.421 Å, b = 5.421 Å, c = 4.611 Å, α = 90.00°, β = 90.00° and γ = 90.00°. The inequivalent atoms are Ca at (0.000, 0.500, 0.000), Mn at (0.000, 0.000, 0.000), Ag at (0.000, 0.000, 0.500) and F at (0.500, 0.500, 0.500).

The uncorrected formation energy is 0.047 eV/atom. As for the total energy: -3.807 eV per atom.



No. 13
Crystalline YZnCl2 at its relaxed geometry. Source: the Alexandria database, functional GGA-PBEsol.

It has space group P4/mmm (No. 123), with a = 4.390 Å, b = 4.390 Å, c = 4.132 Å, α = 90.00°, β = 90.00° and γ = 90.00°. The inequivalent atoms are Y at (0.000, 0.000, 0.000), Zn at (0.500, 0.500, 0.000) and Cl at (0.000, 0.500, 0.500).

The uncorrected formation energy is -0.934 eV/atom. As for the total energy: -4.039 eV per atom. The polymorph energy (0 for the lowest one) comes out at 3.1 kJ/mol of atoms.